No. 1
Material: LiMn2Br
Method: DFT, GGA-PBEsol
State: relaxed

abc: 3.450 3.450 5.409
angles: 90.00 90.00 90.00
Fractional positions:
Li1 0.000 0.000 0.000
Mn1 0.500 0.500 0.237
Mn2 0.500 0.500 0.763
Br1 0.000 0.000 0.500

Properties
E above lowest polymorph	0.00	kcal/mol of atoms
E_form (uncorrected)	450.1	meV per atom

No. 2
Material: SrTaTeI2
Method: DFT, GGA-PBEsol
State: relaxed

abc: 5.934 5.934 6.244
angles: 90.00 90.00 90.00
Fractional positions:
Sr1 0.000 0.000 0.000
Ta1 0.500 0.500 0.500
Te1 0.000 0.000 0.500
I1 0.000 0.500 0.000
I2 0.500 0.000 0.000

Properties
E_form (uncorrected)	829.3	meV per atom

No. 3
Material: ScNb2W
Method: DFT, GGA-PBEsol
State: relaxed

abc: 4.632 4.632 4.632
angles: 60.00 60.00 60.00
Fractional positions:
Sc1 0.000 0.000 0.000
Nb1 0.250 0.250 0.250
Nb2 0.750 0.750 0.750
W1 0.500 0.500 0.500

Properties
energy of formation from the pure elements	147	meV per atom

No. 4
Material: TaCoBr2
Method: DFT, GGA-PBEsol
State: relaxed

abc: 7.247 7.247 3.838
angles: 91.58 91.58 25.84
Fractional positions:
Ta1 0.000 0.000 0.000
Co1 0.500 0.500 0.500
Br1 0.357 0.357 0.795
Br2 0.643 0.643 0.205

Properties
E above lowest polymorph	0.68	kcal/mol of atoms
E_form (uncorrected)	-40.2	meV per atom

No. 5
Material: Si2AgH
Method: DFT, GGA-PBEsol
State: relaxed

abc: 6.680 6.680 6.680
angles: 141.26 141.26 55.94
Fractional positions:
Si1 0.375 0.238 0.363
Si2 0.762 0.125 0.137
Si3 0.875 0.012 0.637
Si4 0.988 0.625 0.863
Ag1 0.250 0.750 0.500
Ag2 0.500 0.500 0.000
H1 0.000 0.000 0.000
H2 0.750 0.250 0.500

No. 6
Material: BeCS3
Method: DFT, GGA-PBEsol
State: relaxed

abc: 4.006 4.006 4.006
angles: 90.00 90.00 90.00
Fractional positions:
Be1 0.000 0.000 0.000
C1 0.500 0.500 0.500
S1 0.000 0.500 0.500
S2 0.500 0.000 0.500
S3 0.500 0.500 0.000

Properties
E_form (uncorrected)	1179.3	meV per atom

No. 7
Material: RbCa2Bi2
Method: DFT, GGA-PBEsol
State: relaxed

abc: 9.609 9.609 3.733
angles: 90.00 90.00 90.00
Fractional positions:
Rb1 0.000 0.000 0.000
Rb2 0.500 0.500 0.000
Ca1 0.134 0.366 0.500
Ca2 0.366 0.866 0.500
Ca3 0.634 0.134 0.500
Ca4 0.866 0.634 0.500
Bi1 0.160 0.660 0.000
Bi2 0.340 0.160 0.000
Bi3 0.660 0.840 0.000
Bi4 0.840 0.340 0.000

Properties
energy of formation from the pure elements	-680	meV per atom

No. 8
Material: Be2InPb
Method: DFT, GGA-PBEsol
State: relaxed

abc: 3.730 4.025 4.883
angles: 90.00 90.00 90.00
Fractional positions:
Be1 0.000 0.000 0.000
Be2 0.000 0.500 0.500
In1 0.500 0.000 0.500
Pb1 0.500 0.500 0.000

Properties
energy of formation from the pure elements	701	meV per atom
E above lowest polymorph	4.18	kcal/mol of atoms

No. 9
Material: BaSi3Tc
Method: DFT, GGA-PBEsol
State: relaxed

abc: 5.285 5.285 5.285
angles: 90.00 90.00 90.00
Fractional positions:
Ba1 0.000 0.000 0.000
Si1 0.000 0.000 0.500
Si2 0.000 0.500 0.000
Si3 0.500 0.000 0.000
Tc1 0.500 0.500 0.500

Properties
E_form (uncorrected)	2580.4	meV per atom

No. 10
Material: YPb
Method: DFT, GGA-PBEsol
State: relaxed

abc: 6.296 6.296 6.296
angles: 138.55 138.55 60.07
Fractional positions:
Y1 0.375 0.625 0.750
Y2 0.625 0.375 0.250
Pb1 0.125 0.875 0.250
Pb2 0.875 0.125 0.750

Properties
energy of formation from the pure elements	-596	meV per atom

No. 11
Material: ZrCrPt2
Method: DFT, GGA-PBEsol
State: relaxed

abc: 2.886 4.544 4.868
angles: 90.00 90.00 90.00
Fractional positions:
Zr1 0.000 0.000 0.000
Cr1 0.000 0.500 0.614
Pt1 0.500 0.000 0.512
Pt2 0.500 0.500 0.154

Properties
energy of formation from the pure elements	-516	meV per atom

No. 12
Material: P3Cl
Method: DFT, GGA-PBEsol
State: relaxed

abc: 6.670 6.670 6.670
angles: 30.12 30.12 30.12
Fractional positions:
P1 0.000 0.000 0.000
P2 0.267 0.267 0.267
P3 0.733 0.733 0.733
Cl1 0.500 0.500 0.500

Properties
E above lowest polymorph	0.00	kcal/mol of atoms
E_form (uncorrected)	233.3	meV per atom

no.,magnetization (μB per formula unit),raw total energy (eV/f.u.)
1,7.948,-21.6
2,2.991,-17.3
3,0.000,-41.5
4,0.000,-24.2
5,0.000,-16.0
6,0.000,-20.9
7,0.000,-17.3
8,0.000,-12.2
9,3.629,-17.8
10,0.000,-12.0
11,2.947,-35.3
12,0.000,-18.4